The following is a DFT calculation (PBE) of crystalline Co2Sn3Sb at its relaxed geometry.

DOS at the Fermi energy ... 0.4935 states/eV per atom
Formation energy without anion corrections ... 0.0237 eV/atom
Uncorrected energy ... -5.0334 eV per atom

The structure in CIF format:
```
data_Co2Sn3Sb
_cell_length_a 5.452
_cell_length_b 4.066
_cell_length_c 11.455
_cell_angle_alpha 90.00
_cell_angle_beta 103.05
_cell_angle_gamma 90.00
_space_group_name_H-M_alt 'P 1 21/m 1'
_space_group_IT_number 11
_space_group_name_Hall '-P 2yb'
loop_
_atom_site_label
_atom_site_type_symbol
_atom_site_fract_x
_atom_site_fract_y
_atom_site_fract_z
Co1 Co 0.052 0.250 0.107
Co2 Co 0.079 0.750 0.670
Sn1 Sn 0.219 0.250 0.544
Sn2 Sn 0.327 0.750 0.067
Sn3 Sn 0.403 0.250 0.303
Sb1 Sb 0.143 0.250 0.809
```